Record 1
Below is a relaxed Ga2NiTeSe crystal, with properties calculated at the PBE level.

## Properties
* uncorrected formation energy: -0.039 eV/atom
* density: 6.174 Mg/m³
* DFT total energy: -18.7 eV/f.u.
* total magnetic moment: 0.00 μB per formula unit
* space group: P4/mmm, No. 123
* density of states at the Fermi level: 0.373 states/eV/atom

extended XYZ file:
```
5
Lattice="-2.514 3.778 -0.753 0.788 -0.484 -5.060 -3.788 -2.588 -0.343" Properties=species:S:1:pos:R:3 pbc="T T T"
Ni 0.000 0.000 0.000
Ga -1.894 -1.294 -0.171
Ga -1.257 1.889 -0.377
Se -2.757 0.353 -3.078
Te 0.394 -0.242 -2.530
```

---

Record 2
Below is a relaxed LiCuBiF2 crystal, with properties calculated at the PBE level.

## Properties
* uncorrected formation energy: -0.752 eV/atom
* density: 4.352 Mg/m³
* DFT total energy: -17.4 eV/f.u.
* total magnetic moment: 0.00 μB per formula unit
* space group: P4/mmm, No. 123
* density of states at the Fermi level: 0.628 states/eV/atom

extended XYZ file:
```
5
Lattice="-3.527 -2.694 0.685 3.095 -4.627 -2.255 1.539 -0.971 4.106" Properties=species:S:1:pos:R:3 pbc="T T T"
Cu 0.554 -4.146 1.268
Li 1.548 -2.313 -1.127
Bi 0.000 0.000 0.000
F 0.770 -0.485 2.053
F -1.764 -1.347 0.343
```

---

Record 3
Below is a relaxed La2Cd2Ge crystal, with properties calculated at the PBE level.

## Properties
* energy relative to the lowest polymorph listed for this composition: 178 meV per atom
* density: 6.273 Mg/m³
* ΔH_f (0 K): -0.15 eV/atom
* DFT total energy: -17.0 eV/f.u.
* total magnetic moment: 0.00 μB per formula unit
* space group: P4/mbm, No. 127
* density of states at the Fermi level: 0.569 states/eV/atom

extended XYZ file:
```
10
Lattice="-0.653 2.205 7.497 -4.489 -6.264 1.451 4.040 -2.634 1.127" Properties=species:S:1:pos:R:3 pbc="T T T"
La -1.050 0.531 5.008
La -1.704 -1.940 1.576
La -4.092 -4.590 3.940
La -3.437 -2.119 7.371
Cd -2.188 -5.139 6.719
Cd -1.037 -5.091 2.704
Cd 1.087 -1.554 3.355
Cd -0.064 -1.602 7.370
Ge 0.000 0.000 0.000
Ge -2.571 -2.030 4.474
```

---

Record 4
Below is a relaxed Er2CBr crystal, with properties calculated at the PBE level.

## Properties
* uncorrected formation energy: -0.947 eV/atom
* density: 8.729 Mg/m³
* DFT total energy: -23.8 eV/f.u.
* total magnetic moment: 0.00 μB per formula unit
* space group: R3m, No. 160
* density of states at the Fermi level: 0.449 states/eV/atom

extended XYZ file:
```
4
Lattice="3.644 0.000 0.000 1.822 3.156 0.000 1.822 1.052 7.054" Properties=species:S:1:pos:R:3 pbc="T T T"
C 5.466 3.156 7.016
Br 3.644 2.104 3.550
Er 1.822 1.052 1.263
Er 1.822 1.052 5.804
```

---

Record 5
Below is a relaxed Cs2YBiF6 crystal, with properties calculated at the PBE level.

## Properties
* uncorrected formation energy: -2.846 eV/atom
* density: 4.481 Mg/m³
* DFT total energy: -51.7 eV/f.u.
* total magnetic moment: 2.00 μB per formula unit
* space group: I4/mmm, No. 139
* density of states at the Fermi level: 0.000 states/eV/atom

extended XYZ file:
```
10
Lattice="-5.807 3.854 -2.561 -4.201 -6.114 0.325 -6.194 -0.085 3.153" Properties=species:S:1:pos:R:3 pbc="T T T"
F -5.585 -0.620 0.965
F -5.336 0.934 -1.716
F -10.618 -1.724 -0.049
F -4.672 -3.194 -0.521
F -2.932 -0.662 -0.655
F -7.076 -1.598 -1.581
Cs -8.503 1.320 -0.263
Cs -7.700 -3.664 1.180
Bi 0.000 0.000 0.000
Y -5.004 -1.130 -1.118
```

---

Record 6
Below is a relaxed MnCo2Mo crystal, with properties calculated at the PBE level.

## Properties
* energy relative to the lowest polymorph listed for this composition: 30 meV per atom
* density: 9.416 Mg/m³
* ΔH_f (0 K): 0.02 eV/atom
* DFT total energy: -34.1 eV/f.u.
* total magnetic moment: 1.16 μB per formula unit
* space group: I4/mmm, No. 139
* density of states at the Fermi level: 0.964 states/eV/atom

extended XYZ file:
```
4
Lattice="-0.529 -1.489 4.153 -3.685 -2.468 0.262 3.464 -0.106 -2.781" Properties=species:S:1:pos:R:3 pbc="T T T"
Mn 0.414 -1.787 1.790
Co -4.215 -3.957 4.415
Co -2.108 -1.979 2.208
Mo -1.164 -2.277 -0.156
```

---

Record 7
Below is a relaxed LiMg2InPb5 crystal, with properties calculated at the PBE level.

## Properties
* density: 8.138 Mg/m³
* ΔH_f (0 K): -0.04 eV/atom
* DFT total energy: -26.7 eV/f.u.
* total magnetic moment: 0.00 μB per formula unit
* space group: Cmc2_1, No. 36
* density of states at the Fermi level: 0.423 states/eV/atom

extended XYZ file:
```
18
Lattice="-0.623 1.556 4.855 8.506 -3.843 -0.393 4.175 9.496 -2.507" Properties=species:S:1:pos:R:3 pbc="T T T"
Li 0.987 0.371 2.725
Li 9.043 2.225 0.448
Pb 5.875 -2.107 1.430
Pb 3.909 1.187 2.839
Pb 11.350 4.129 0.134
Pb 7.731 -2.137 4.395
Pb 2.309 4.759 -1.229
Pb 0.769 3.219 1.784
Pb 4.163 4.723 1.738
Pb 6.126 1.429 0.329
Pb 7.562 4.687 -0.531
Pb 6.653 7.421 1.193
In 2.919 -0.998 0.695
In 7.121 3.620 2.471
Mg 4.908 6.393 -1.419
Mg 2.952 1.924 -0.238
Mg 7.101 0.705 3.403
Mg 9.305 5.738 2.073
```

---

Record 8
Below is a relaxed MnZn2Se crystal, with properties calculated at the PBE level.

## Properties
* uncorrected formation energy: 0.061 eV/atom
* density: 6.384 Mg/m³
* DFT total energy: -15.0 eV/f.u.
* total magnetic moment: 3.98 μB per formula unit
* space group: Cmmm, No. 65
* density of states at the Fermi level: 0.541 states/eV/atom

extended XYZ file:
```
4
Lattice="-0.575 -4.107 -1.966 4.395 1.295 0.277 0.257 -1.562 3.192" Properties=species:S:1:pos:R:3 pbc="T T T"
Se 2.326 -0.134 1.734
Zn 1.910 -1.406 -0.845
Zn 0.000 0.000 0.000
Mn -0.159 -2.835 0.613
```

---

Record 9
Below is a relaxed AlRePt4 crystal, with properties calculated at the PBE level.

## Properties
* density: 16.506 Mg/m³
* ΔH_f (0 K): 0.30 eV/atom
* DFT total energy: -38.5 eV/f.u.
* total magnetic moment: 2.34 μB per formula unit
* space group: F-43m, No. 216
* density of states at the Fermi level: 0.643 states/eV/atom

extended XYZ file:
```
6
Lattice="0.000 3.683 3.683 3.683 0.000 3.683 3.683 3.683 0.000" Properties=species:S:1:pos:R:3 pbc="T T T"
Pt 2.765 2.765 2.765
Pt 2.765 4.602 4.602
Pt 4.602 4.602 2.765
Pt 4.602 2.765 4.602
Re 5.525 5.525 5.525
Al 0.000 0.000 0.000
```

---

Record 10
Below is a relaxed Mg2Cd2Pb crystal, with properties calculated at the PBE level.

## Properties
* energy relative to the lowest polymorph listed for this composition: 90 meV per atom
* density: 6.223 Mg/m³
* ΔH_f (0 K): 0.05 eV/atom
* DFT total energy: -8.5 eV/f.u.
* total magnetic moment: 0.00 μB per formula unit
* space group: I4/mmm, No. 139
* density of states at the Fermi level: 0.491 states/eV/atom

extended XYZ file:
```
5
Lattice="-4.230 0.277 -0.909 -0.943 -0.695 4.174 -2.395 6.514 2.795" Properties=species:S:1:pos:R:3 pbc="T T T"
Cd -5.021 4.909 4.186
Cd -2.546 1.187 1.874
Mg -2.962 2.805 4.300
Mg -4.605 3.291 1.759
Pb 0.000 0.000 0.000
```

---

Record 11
Below is a relaxed Sc3GaCo8 crystal, with properties calculated at the PBE level.

## Properties
* density: 7.036 Mg/m³
* ΔH_f (0 K): -0.30 eV/atom
* DFT total energy: -82.5 eV/f.u.
* total magnetic moment: 7.76 μB per formula unit
* space group: R3m, No. 160
* density of states at the Fermi level: 1.327 states/eV/atom

extended XYZ file:
```
12
Lattice="-4.443 0.901 1.661 -3.322 -3.503 0.033 -0.298 -2.971 7.832" Properties=species:S:1:pos:R:3 pbc="T T T"
Co -5.668 -1.250 3.052
Co -1.590 -1.784 3.731
Co -5.620 -4.572 8.497
Co -3.451 -1.700 2.223
Co -7.485 -4.474 6.949
Co -5.832 -2.730 6.933
Co -5.274 -4.922 6.122
Co -5.109 -3.448 2.240
Sc -4.053 -2.767 4.694
Sc -7.735 -2.629 1.786
Sc -3.176 -3.572 7.477
Ga -6.894 -3.401 4.455
```

---

Record 12
Below is a relaxed Li3Ce2FeS6 crystal, with properties calculated at the PBE level.

## Properties
* uncorrected formation energy: -1.321 eV/atom
* density: 3.961 Mg/m³
* DFT total energy: -66.7 eV/f.u.
* total magnetic moment: 1.11 μB per formula unit
* space group: C2/m, No. 12
* density of states at the Fermi level: 0.918 states/eV/atom

extended XYZ file:
```
12
Lattice="-3.686 0.476 5.392 6.120 -2.295 0.399 1.316 6.352 -0.941" Properties=species:S:1:pos:R:3 pbc="T T T"
S 1.451 3.791 4.495
S 2.299 0.742 0.355
S 2.211 0.067 4.306
S 4.302 2.985 3.044
S -0.552 1.548 1.806
S 1.539 4.466 0.544
Li -1.564 3.238 4.175
Li 5.314 1.295 0.674
Li 1.875 2.267 2.425
Fe 0.000 0.000 0.000
Ce -0.441 -0.441 3.740
Ce 2.875 -1.378 2.051
```

---

> Which value of density of states at the Fermi level does entry 2 give?

0.628 states/eV/atom

---

Repeat the first record exactly.
Below is a relaxed Ga2NiTeSe crystal, with properties calculated at the PBE level.

## Properties
* uncorrected formation energy: -0.039 eV/atom
* density: 6.174 Mg/m³
* DFT total energy: -18.7 eV/f.u.
* total magnetic moment: 0.00 μB per formula unit
* space group: P4/mmm, No. 123
* density of states at the Fermi level: 0.373 states/eV/atom

extended XYZ file:
```
5
Lattice="-2.514 3.778 -0.753 0.788 -0.484 -5.060 -3.788 -2.588 -0.343" Properties=species:S:1:pos:R:3 pbc="T T T"
Ni 0.000 0.000 0.000
Ga -1.894 -1.294 -0.171
Ga -1.257 1.889 -0.377
Se -2.757 0.353 -3.078
Te 0.394 -0.242 -2.530
```